Record 1
The following is a DFT calculation (PBE) of a relaxed structure of Sr2AlCu2.

Cell lengths 3.580, 3.580, 19.718 Å; angles 90.00, 90.00, 90.00 degrees
Space group I4/mmm (No. 139)
Unique sites:
Sr 0.000 0.000 0.116 (multiplicity 4)
Al 0.000 0.000 0.500 (multiplicity 2)
Cu 0.000 0.500 0.250 (multiplicity 4)

- Formation energy: 0.06 eV per atom
- Total magnetization: 0.00 μB per formula unit
- Total DFT energy (no corrections): -2.997 eV/atom
- DOS(E_F): 0.4087 states/eV per atom
- V: 25.27 A^3/atom

=====

Record 2
The following is a DFT calculation (PBE) of a relaxed structure of LaAgAs2.

Cell lengths 4.853, 4.853, 17.897 Å; angles 90.00, 90.00, 90.00 degrees
Space group I-42d (No. 122)
Unique sites:
La 0.000 0.000 0.000 (multiplicity 4)
Ag 0.000 0.000 0.500 (multiplicity 4)
As 0.122 0.250 0.625 (multiplicity 8)

- Formation energy: -0.39 eV per atom
- Total magnetization: 0.00 μB per formula unit
- Total DFT energy (no corrections): -4.662 eV/atom
- DOS(E_F): 0.5356 states/eV per atom
- V: 26.34 A^3/atom

=====

Record 3
The following is a DFT calculation (PBE) of a relaxed structure of KAc2TeO8.

Cell lengths 4.511, 5.514, 7.728 Å; angles 90.00, 104.87, 90.00 degrees
Space group P2/m (No. 10)
Unique sites:
K 0.000 0.000 0.000 (multiplicity 1)
Ac 0.375 0.500 0.706 (multiplicity 2)
Te 0.000 0.000 0.500 (multiplicity 1)
O 0.158 0.500 0.001 (multiplicity 2)
O 0.184 0.268 0.396 (multiplicity 4)
O 0.324 0.000 0.723 (multiplicity 2)

- Formation energy (no corrections): -1964 meV per atom
- Total magnetization: 1.08 μB per formula unit
- Total DFT energy (no corrections): -6.308 eV/atom
- DOS(E_F): 0.6974 states/eV per atom
- V: 15.48 A^3/atom

=====

Record 4
The following is a DFT calculation (PBE) of a relaxed structure of Rb3Tl2Sn3.

Cell lengths 6.585, 13.756, 13.963 Å; angles 90.00, 90.00, 90.00 degrees
Space group Cmcm (No. 63)
Unique sites:
Rb 0.000 0.056 0.250 (multiplicity 4)
Rb 0.000 0.148 0.513 (multiplicity 8)
Tl 0.000 0.366 0.138 (multiplicity 8)
Sn 0.000 0.256 0.750 (multiplicity 4)
Sn 0.000 0.410 0.605 (multiplicity 8)

- Formation energy: -0.05 eV per atom
- Total magnetization: 0.00 μB per formula unit
- Total DFT energy (no corrections): -2.506 eV/atom
- DOS(E_F): 0.5688 states/eV per atom
- V: 39.53 A^3/atom

=====

Record 5
The following is a DFT calculation (PBE) of a relaxed structure of TaCu2Au.

Cell lengths 6.032, 7.319, 2.759 Å; angles 90.00, 90.00, 90.00 degrees
Space group Cmmm (No. 65)
Unique sites:
Ta 0.000 0.000 0.000 (multiplicity 2)
Cu 0.250 0.250 0.500 (multiplicity 4)
Au 0.000 0.500 0.000 (multiplicity 2)

- Formation energy: 0.22 eV per atom
- Total magnetization: 0.00 μB per formula unit
- Total DFT energy (no corrections): -5.609 eV/atom
- DOS(E_F): 0.9103 states/eV per atom
- ΔE to the lowest computed polymorph: 195.0 meV/atom
- V: 15.23 A^3/atom

=====

Record 6
The following is a DFT calculation (PBE) of a relaxed structure of Pu4HfAs5.

Cell lengths 9.105, 9.105, 5.772 Å; angles 90.00, 90.00, 90.00 degrees
Space group I4/m (No. 87)
Unique sites:
Pu 0.096 0.699 0.000 (multiplicity 8)
Hf 0.000 0.000 0.500 (multiplicity 2)
As 0.000 0.000 0.000 (multiplicity 2)
As 0.097 0.712 0.500 (multiplicity 8)

- Formation energy: -1.03 eV per atom
- Total magnetization: 20.75 μB per formula unit
- Total DFT energy (no corrections): -10.079 eV/atom
- DOS(E_F): 3.9552 states/eV per atom
- V: 23.93 A^3/atom